(1)
# LiAuN | Alexandria | GGA-PBE | relaxed
# * mass density: 7.0 g cm⁻³
# * space group: P-1, No. 2
data_LiAuN
_space_group_name_H-M_alt 'P 1'
_space_group_IT_number 1
_cell_length_a 2.9177
_cell_length_b 3.6613
_cell_length_c 9.8830
_cell_angle_alpha 79.42
_cell_angle_beta 82.03
_cell_angle_gamma 89.98
loop_
_space_group_symop_operation_xyz
'x,y,z'
loop_
_atom_site_label
_atom_site_type_symbol
_atom_site_fract_x
_atom_site_fract_y
_atom_site_fract_z
Li1 Li 0.1409 0.1349 0.2321
Li2 Li 0.8591 0.8651 0.7679
Au1 Au 0.2938 0.2963 0.9068
Au2 Au 0.7062 0.7037 0.0932
N1 N 0.0292 0.0296 0.4411
N2 N 0.9708 0.9704 0.5589

=====

(2)
# LiAuN | Alexandria | GGA-PBE | relaxed
# * mass density: 5.5 g cm⁻³
# * space group: C2/m, No. 12
data_LiAuN
_space_group_name_H-M_alt 'P 1'
_space_group_IT_number 1
_cell_length_a 3.4908
_cell_length_b 3.4908
_cell_length_c 11.1388
_cell_angle_alpha 98.92
_cell_angle_beta 98.92
_cell_angle_gamma 89.33
loop_
_space_group_symop_operation_xyz
'x,y,z'
loop_
_atom_site_label
_atom_site_type_symbol
_atom_site_fract_x
_atom_site_fract_y
_atom_site_fract_z
Li1 Li 0.2112 0.2112 0.4205
Li2 Li 0.7888 0.7888 0.5795
Au1 Au 0.3306 0.3306 0.6651
Au2 Au 0.6694 0.6694 0.3349
N1 N 0.1134 0.8866 0.0000
N2 N 0.8866 0.1134 0.0000

=====

Of all the structures shown, which is most stable? (1), and (2) is the least stable.